Density functional theory data (PBE) for CdP after structural relaxation.

The value obtained for the energy above the most stable polymorph in this dataset is 553 meV per atom. For the formation enthalpy at 0 K, the calculation gives 511 meV/atom. Its density of states at the Fermi level is 0.6 states/eV/f.u.

abc: 2.8474 2.8474 16.7083
angles: 90.00 90.00 120.00
Space group R-3m (No. 166, hexagonal axes)
Asymmetric unit:
Cd 0.0000 0.0000 0.0000 (multiplicity 3)
P 0.0000 0.0000 0.5000 (multiplicity 3)

=====

Density functional theory data (PBE) for MnCuP2 after structural relaxation.

For the formation enthalpy at 0 K, the calculation gives 272 meV/atom. Its density of states at the Fermi level is 2.8 states/eV/f.u.

abc: 2.6896 2.6896 28.2036
angles: 90.00 90.00 120.00
Space group R3m (No. 160, hexagonal axes)
Asymmetric unit:
Mn 0.0000 0.0000 0.0000 (multiplicity 3)
Cu 0.0000 0.0000 0.7411 (multiplicity 3)
P 0.0000 0.0000 0.2751 (multiplicity 3)
P 0.0000 0.0000 0.4748 (multiplicity 3)

=====

Density functional theory data (PBE) for TmPu2H8 after structural relaxation.

Its density of states at the Fermi level is 13.8 states/eV/f.u.

abc: 3.7441 4.9953 11.2048
angles: 90.00 90.00 90.00
Space group Immm (No. 71)
Asymmetric unit:
Tm 0.0000 0.0000 0.0000 (multiplicity 2)
Pu 0.0000 0.0000 0.3212 (multiplicity 4)
H 0.0000 0.2394 0.5000 (multiplicity 4)
H 0.0000 0.2619 0.1508 (multiplicity 8)
H 0.0000 0.5000 0.3220 (multiplicity 4)

=====

Density functional theory data (PBE) for KH3Au after structural relaxation.

The value obtained for the energy above the most stable polymorph in this dataset is 174 meV per atom. Its density of states at the Fermi level is 0.0 states/eV/f.u.

abc: 13.6224 3.2758 7.0565
angles: 90.00 109.33 90.00
Space group C2/m (No. 12)
Asymmetric unit:
K 0.1178 0.0000 0.2901 (multiplicity 4)
H 0.0247 0.0000 0.5462 (multiplicity 4)
H 0.1221 0.0000 0.9170 (multiplicity 4)
H 0.1821 0.5000 0.6069 (multiplicity 4)
Au 0.1532 0.5000 0.8318 (multiplicity 4)

=====

Density functional theory data (PBE) for Li2InW2 after structural relaxation.

The value obtained for the energy above the most stable polymorph in this dataset is 253 meV per atom. For the formation enthalpy at 0 K, the calculation gives 983 meV/atom. Its density of states at the Fermi level is 3.9 states/eV/f.u.

abc: 3.7002 3.7002 13.7079
angles: 90.00 90.00 90.00
Space group I4/mmm (No. 139)
Asymmetric unit:
Li 0.0000 0.5000 0.2500 (multiplicity 4)
In 0.0000 0.0000 0.0000 (multiplicity 2)
W 0.0000 0.0000 0.4153 (multiplicity 4)

=====

Density functional theory data (PBE) for Ac3BiIrO after structural relaxation.

Its density of states at the Fermi level is 4.2 states/eV/f.u.

abc: 9.4821 4.4349 9.8009
angles: 90.00 104.28 90.00
Space group P2_1/m (No. 11)
Asymmetric unit:
Ac 0.0610 0.2500 0.3458 (multiplicity 2)
Ac 0.3260 0.2500 0.9728 (multiplicity 2)
Ac 0.3742 0.7500 0.6483 (multiplicity 2)
Bi 0.3189 0.7500 0.2649 (multiplicity 2)
Ir 0.1594 0.2500 0.6550 (multiplicity 2)
O 0.4173 0.7500 0.9072 (multiplicity 2)

=====

Density functional theory data (PBE) for PuMg2Pd8 after structural relaxation.

The value obtained for the energy above the most stable polymorph in this dataset is 0 meV per atom. For the formation enthalpy at 0 K, the calculation gives -504 meV/atom. Its density of states at the Fermi level is 13.7 states/eV/f.u.

abc: 14.4166 4.1334 6.3845
angles: 90.00 106.31 90.00
Space group C2/m (No. 12)
Asymmetric unit:
Pu 0.0000 0.0000 0.0000 (multiplicity 2)
Mg 0.2223 0.5000 0.6535 (multiplicity 4)
Pd 0.0424 0.5000 0.7239 (multiplicity 4)
Pd 0.0959 0.0000 0.4638 (multiplicity 4)
Pd 0.1437 0.5000 0.1967 (multiplicity 4)
Pd 0.1812 0.0000 0.9166 (multiplicity 4)

=====

Density functional theory data (PBE) for BeReP after structural relaxation.

The value obtained for the energy above the most stable polymorph in this dataset is 499 meV per atom. For the formation enthalpy at 0 K, the calculation gives 96 meV/atom. Its density of states at the Fermi level is 0.7 states/eV/f.u.

abc: 2.8497 2.8497 5.4839
angles: 90.00 90.00 120.00
Space group P3m1 (No. 156)
Asymmetric unit:
Be 0.0000 0.0000 0.0000 (multiplicity 1)
Re 0.3333 0.6667 0.6517 (multiplicity 1)
P 0.6667 0.3333 0.3277 (multiplicity 1)

=====

Density functional theory data (PBE) for LiBeMo2 after structural relaxation.

The value obtained for the energy above the most stable polymorph in this dataset is 113 meV per atom. For the formation enthalpy at 0 K, the calculation gives 347 meV/atom. Its density of states at the Fermi level is 1.4 states/eV/f.u.

abc: 3.1950 3.1950 5.1134
angles: 90.00 90.00 90.00
Space group P4/mmm (No. 123)
Asymmetric unit:
Li 0.0000 0.0000 0.0000 (multiplicity 1)
Be 0.0000 0.0000 0.5000 (multiplicity 1)
Mo 0.5000 0.5000 0.2742 (multiplicity 2)

=====

Density functional theory data (PBE) for AcTm4Tl4 after structural relaxation.

For the formation enthalpy at 0 K, the calculation gives -154 meV/atom. Its density of states at the Fermi level is 8.7 states/eV/f.u.

abc: 7.4367 7.4367 10.3185
angles: 90.00 90.00 90.00
Space group P4_2/nmc (No. 137, origin choice 2)
Asymmetric unit:
Ac 0.2500 0.7500 0.2500 (multiplicity 2)
Tm 0.0118 0.2500 0.1505 (multiplicity 8)
Tl 0.0409 0.2500 0.4496 (multiplicity 8)

=====

Density functional theory data (PBE) for Sm2CoAs4Ir3 after structural relaxation.

For the formation enthalpy at 0 K, the calculation gives -712 meV/atom. Its density of states at the Fermi level is 4.7 states/eV/f.u.

abc: 4.2770 4.2770 9.9406
angles: 90.00 90.00 90.00
Space group P-4m2 (No. 115)
Asymmetric unit:
Sm 0.0000 0.5000 0.2482 (multiplicity 2)
Co 0.5000 0.5000 0.0000 (multiplicity 1)
As 0.0000 0.0000 0.5000 (multiplicity 1)
As 0.0000 0.5000 0.8707 (multiplicity 2)
As 0.5000 0.5000 0.5000 (multiplicity 1)
Ir 0.0000 0.0000 0.0000 (multiplicity 1)
Ir 0.0000 0.5000 0.6247 (multiplicity 2)

=====

Listing raw total energy for the structures above in their given order: -2.6512; -5.7492; -5.9378; -2.8863; -5.5116; -6.4799; -5.8732; -7.0992; -6.4785; -3.6495; -6.8846 eV per atom.